{
  "formula": "NaIO4",
  "functional": "PBEsol",
  "state": "optimized geometry",
  "lattice_angstrom": [[-2.665, 2.665, 5.862], [2.665, -2.665, 5.862], [2.665, 2.665, -5.862]],
  "species": ["Na", "Na", "I", "I", "O", "O", "O", "O", "O", "O", "O", "O"],
  "fractional_positions": [[0.375, 0.125, 0.250], [0.625, 0.875, 0.750], [0.125, 0.375, 0.750], [0.875, 0.625, 0.250], [0.053, 0.222, 0.359], [0.194, 0.553, 0.331], [0.278, 0.137, 0.831], [0.363, 0.694, 0.141], [0.637, 0.306, 0.859], [0.722, 0.863, 0.169], [0.806, 0.447, 0.669], [0.947, 0.778, 0.641]]
}

{
  "formula": "NaI2O2",
  "functional": "PBEsol",
  "state": "optimized geometry",
  "lattice_angstrom": [[4.110, 0.000, 0.000], [0.000, 4.110, 0.000], [0.000, 0.000, 7.312]],
  "species": ["Na", "I", "I", "O", "O"],
  "fractional_positions": [[0.000, 0.000, 0.000], [0.500, 0.500, 0.000], [0.500, 0.500, 0.500], [0.000, 0.500, 0.500], [0.500, 0.000, 0.500]]
}

{
  "formula": "Na3IO",
  "functional": "PBEsol",
  "state": "optimized geometry",
  "lattice_angstrom": [[6.712, 0.000, 0.000], [-3.356, 5.812, 0.000], [0.000, 0.000, 16.352]],
  "species": ["Na", "Na", "Na", "Na", "Na", "Na", "Na", "Na", "Na", "Na", "Na", "Na", "Na", "Na", "Na", "Na", "Na", "Na", "I", "I", "I", "I", "I", "I", "O", "O", "O", "O", "O", "O"],
  "fractional_positions": [[0.055, 0.528, 0.250], [0.166, 0.331, 0.079], [0.166, 0.331, 0.421], [0.166, 0.834, 0.079], [0.166, 0.834, 0.421], [0.331, 0.166, 0.579], [0.331, 0.166, 0.921], [0.472, 0.528, 0.250], [0.472, 0.945, 0.250], [0.528, 0.055, 0.750], [0.528, 0.472, 0.750], [0.669, 0.834, 0.079], [0.669, 0.834, 0.421], [0.834, 0.166, 0.579], [0.834, 0.166, 0.921], [0.834, 0.669, 0.579], [0.834, 0.669, 0.921], [0.945, 0.472, 0.750], [0.000, 0.000, 0.250], [0.000, 0.000, 0.750], [0.333, 0.667, 0.600], [0.333, 0.667, 0.900], [0.667, 0.333, 0.100], [0.667, 0.333, 0.400], [0.000, 0.000, 0.000], [0.000, 0.000, 0.500], [0.333, 0.667, 0.150], [0.333, 0.667, 0.350], [0.667, 0.333, 0.650], [0.667, 0.333, 0.850]]
}

| no. | raw total energy (eV per cell) | total moment (Bohr magnetons per cell) |
| --- | --- | --- |
| 1 | -55.97 | 0.00 |
| 2 | -17.47 | 0.00 |
| 3 | -104.60 | 0.17 |